1.
Entry from the Alexandria database: a relaxed structure of LaCuSb2 (PBE).

Summary:
Energy relative to the elements, uncorrected = -457 meV/atom
Total moment = 0.000 μB per atom
Electronic total energy = -4.774 eV per atom

Structure (CIF):
```
data_LaCuSb2
_chemical_formula_sum 'La2 Cu2 Sb4'
_cell_length_a 6.680
_cell_length_b 6.714
_cell_length_c 4.465
_cell_angle_alpha 90.00
_cell_angle_beta 90.00
_cell_angle_gamma 90.00
_space_group_name_H-M_alt 'C m m m'
_space_group_IT_number 65
_space_group_name_Hall '-C 2 2'
loop_
_atom_site_label
_atom_site_type_symbol
_atom_site_fract_x
_atom_site_fract_y
_atom_site_fract_z
La1 La 0.000 0.000 0.000
Cu1 Cu 0.000 0.500 0.000
Sb1 Sb 0.250 0.250 0.500
```

2.
Entry from the Alexandria database: a relaxed structure of Sm2YBi (PBE).

Summary:
Energy above the most stable polymorph in this dataset = 0.237 eV per atom
Total moment = 0.210 μB per atom
Electronic total energy = -5.138 eV per atom

Structure (CIF):
```
data_Sm2YBi
_chemical_formula_sum 'Sm6 Y3 Bi3'
_cell_length_a 4.1141
_cell_length_b 4.1141
_cell_length_c 28.9906
_cell_angle_alpha 90.00
_cell_angle_beta 90.00
_cell_angle_gamma 120.00
_space_group_name_H-M_alt 'R 3 m'
_space_group_IT_number 160
_space_group_name_Hall 'R 3 -2"'
loop_
_atom_site_label
_atom_site_type_symbol
_atom_site_fract_x
_atom_site_fract_y
_atom_site_fract_z
Sm1 Sm 0.0000 0.0000 0.0000
Sm2 Sm 0.0000 0.0000 0.1925
Y1 Y 0.0000 0.0000 0.4295
Bi1 Bi 0.0000 0.0000 0.5960
```

3.
Entry from the Alexandria database: a relaxed structure of EuTmBi2 (PBE).

Summary:
Energy above the most stable polymorph in this dataset = 0.148 eV per atom
Total moment = 1.776 μB per atom
Electronic total energy = -6.239 eV per atom

Structure (CIF):
```
data_EuTmBi2
_chemical_formula_sum 'Eu4 Tm4 Bi8'
_cell_length_a 7.894
_cell_length_b 7.894
_cell_length_c 7.894
_cell_angle_alpha 90.00
_cell_angle_beta 90.00
_cell_angle_gamma 90.00
_space_group_name_H-M_alt 'F m -3 m'
_space_group_IT_number 225
_space_group_name_Hall '-F 4 2 3'
loop_
_atom_site_label
_atom_site_type_symbol
_atom_site_fract_x
_atom_site_fract_y
_atom_site_fract_z
Eu1 Eu 0.000 0.000 0.000
Tm1 Tm 0.000 0.000 0.500
Bi1 Bi 0.250 0.250 0.250
```

4.
Entry from the Alexandria database: a relaxed structure of BeFeSb2Au (PBE).

Summary:
Energy relative to the elements, uncorrected = 394 meV/atom
Total moment = 0.000 μB per atom
Electronic total energy = -4.349 eV per atom

Structure (CIF):
```
data_BeFeSb2Au
_chemical_formula_sum 'Be1 Fe1 Sb2 Au1'
_cell_length_a 4.828
_cell_length_b 4.828
_cell_length_c 4.222
_cell_angle_alpha 90.00
_cell_angle_beta 90.00
_cell_angle_gamma 90.00
_space_group_name_H-M_alt 'P 4/m m m'
_space_group_IT_number 123
_space_group_name_Hall '-P 4 2'
loop_
_atom_site_label
_atom_site_type_symbol
_atom_site_fract_x
_atom_site_fract_y
_atom_site_fract_z
Be1 Be 0.000 0.000 0.000
Fe1 Fe 0.000 0.000 0.500
Sb1 Sb 0.000 0.500 0.500
Au1 Au 0.500 0.500 0.000
```

5.
Entry from the Alexandria database: a relaxed structure of NaHg6Pb12 (PBE).

Summary:
Energy above the most stable polymorph in this dataset = 0.054 eV per atom
Total moment = 0.000 μB per atom
Electronic total energy = -2.429 eV per atom

Structure (CIF):
```
data_NaHg6Pb12
_chemical_formula_sum 'Na3 Hg18 Pb36'
_cell_length_a 14.6705
_cell_length_b 14.6705
_cell_length_c 9.8334
_cell_angle_alpha 90.00
_cell_angle_beta 90.00
_cell_angle_gamma 120.00
_space_group_name_H-M_alt 'R -3 m'
_space_group_IT_number 166
_space_group_name_Hall '-R 3 2"'
loop_
_atom_site_label
_atom_site_type_symbol
_atom_site_fract_x
_atom_site_fract_y
_atom_site_fract_z
Na1 Na 0.0000 0.0000 0.0000
Hg1 Hg 0.0270 0.5135 0.2316
Pb1 Pb 0.0000 0.3861 0.5000
Pb2 Pb 0.0775 0.1550 0.3254
```

6.
Entry from the Alexandria database: a relaxed structure of Hg2Bi2Br (PBE).

Summary:
Energy relative to the elements, uncorrected = 91 meV/atom
Energy above the most stable polymorph in this dataset = 0.098 eV per atom
Total moment = 0.000 μB per atom
Electronic total energy = -1.917 eV per atom

Structure (CIF):
```
data_Hg2Bi2Br
_chemical_formula_sum 'Hg4 Bi4 Br2'
_cell_length_a 8.891
_cell_length_b 8.891
_cell_length_c 3.777
_cell_angle_alpha 90.00
_cell_angle_beta 90.00
_cell_angle_gamma 90.00
_space_group_name_H-M_alt 'P 4/m b m'
_space_group_IT_number 127
_space_group_name_Hall '-P 4 2ab'
loop_
_atom_site_label
_atom_site_type_symbol
_atom_site_fract_x
_atom_site_fract_y
_atom_site_fract_z
Hg1 Hg 0.169 0.331 0.000
Bi1 Bi 0.128 0.628 0.500
Br1 Br 0.000 0.000 0.000
```

- electronic total energy of number 3 (EuTmBi2)?
  -6.239 eV per atom

Repeat the sixth record exactly.
Entry from the Alexandria database: a relaxed structure of Hg2Bi2Br (PBE).

Summary:
Energy relative to the elements, uncorrected = 91 meV/atom
Energy above the most stable polymorph in this dataset = 0.098 eV per atom
Total moment = 0.000 μB per atom
Electronic total energy = -1.917 eV per atom

Structure (CIF):
```
data_Hg2Bi2Br
_chemical_formula_sum 'Hg4 Bi4 Br2'
_cell_length_a 8.891
_cell_length_b 8.891
_cell_length_c 3.777
_cell_angle_alpha 90.00
_cell_angle_beta 90.00
_cell_angle_gamma 90.00
_space_group_name_H-M_alt 'P 4/m b m'
_space_group_IT_number 127
_space_group_name_Hall '-P 4 2ab'
loop_
_atom_site_label
_atom_site_type_symbol
_atom_site_fract_x
_atom_site_fract_y
_atom_site_fract_z
Hg1 Hg 0.169 0.331 0.000
Bi1 Bi 0.128 0.628 0.500
Br1 Br 0.000 0.000 0.000
```